Model P:
The following is a DFT calculation (GGA-PBEsol) of a relaxed structure of InHg2Te.

Properties
**D(E_F)**: 6.8 states/eV per cell
**Mass density**: 10.4 Mg/m³

Cell: 3.2755 3.2755 33.2368 Å, 90.00 90.00 120.00°
Space group R3m (No. 160, hexagonal axes)
Asymmetric unit:
In (0.0000, 0.0000, 0.0000) (multiplicity 3)
Hg (0.0000, 0.0000, 0.4917) (multiplicity 3)
Hg (0.0000, 0.0000, 0.7472) (multiplicity 3)
Te (0.0000, 0.0000, 0.2474) (multiplicity 3)

---

Model Q:
The following is a DFT calculation (GGA-PBEsol) of a relaxed structure of InHg2Te.

Properties
**D(E_F)**: 2.5 states/eV per cell
**Mass density**: 10.2 Mg/m³

Cell: 3.0001 5.5902 6.2539 Å, 90.00 90.00 90.00°
Space group Pmmm (No. 47)
Asymmetric unit:
In (0.0000, 0.0000, 0.0000) (multiplicity 1)
Hg (0.5000, 0.5000, 0.2498) (multiplicity 2)
Te (0.0000, 0.0000, 0.5000) (multiplicity 1)

---

Most stable one: model Q, least stable one: model P.

---

Model P:
The following is a DFT calculation (GGA-PBEsol) of a relaxed structure of Tl2InHg.

Properties
**D(E_F)**: 3.5 states/eV per cell
**Mass density**: 11.4 Mg/m³

Cell: 6.5615 10.3389 3.2862 Å, 90.00 108.64 90.00°
Space group C2/m (No. 12)
Asymmetric unit:
Tl (0.2500, 0.2500, 0.0000) (multiplicity 4)
In (0.0000, 0.0000, 0.5000) (multiplicity 2)
Hg (0.0000, 0.5000, 0.5000) (multiplicity 2)

---

Model Q:
The following is a DFT calculation (GGA-PBEsol) of a relaxed structure of Tl2InHg.

Properties
**D(E_F)**: 1.9 states/eV per cell
**Mass density**: 11.5 Mg/m³

Cell: 3.5933 3.5933 8.1290 Å, 90.00 90.00 90.00°
Space group P4mm (No. 99)
Asymmetric unit:
Tl (0.0000, 0.0000, 0.0000) (multiplicity 1)
Tl (0.5000, 0.5000, 0.2793) (multiplicity 1)
In (0.5000, 0.5000, 0.7397) (multiplicity 1)
Hg (0.0000, 0.0000, 0.5232) (multiplicity 1)

---

Model R:
The following is a DFT calculation (GGA-PBEsol) of a relaxed structure of Tl2InHg.

Properties
**D(E_F)**: 3.9 states/eV per cell
**Mass density**: 11.4 Mg/m³

Cell: 3.6554 5.3039 10.9161 Å, 90.00 90.00 90.00°
Space group Cmmm (No. 65)
Asymmetric unit:
Tl (0.0000, 0.0000, 0.2446) (multiplicity 4)
In (0.0000, 0.5000, 0.5000) (multiplicity 2)
Hg (0.0000, 0.5000, 0.0000) (multiplicity 2)

---

Model S:
The following is a DFT calculation (GGA-PBEsol) of a relaxed structure of Tl2InHg.

Properties
**D(E_F)**: 3.9 states/eV per cell
**Mass density**: 11.4 Mg/m³

Cell: 3.5714 5.4185 10.8672 Å, 90.00 90.00 90.00°
Space group Imm2 (No. 44)
Asymmetric unit:
Tl (0.0000, 0.0000, 0.0000) (multiplicity 2)
Tl (0.0000, 0.5000, 0.2330) (multiplicity 2)
In (0.0000, 0.0000, 0.4760) (multiplicity 2)
Hg (0.0000, 0.5000, 0.7459) (multiplicity 2)

---

Most stable one: model Q, least stable one: model R.

---

Model P:
The following is a DFT calculation (GGA-PBEsol) of a relaxed structure of ZnIn2Hg.

Properties
**D(E_F)**: 4.4 states/eV per cell
**Mass density**: 9.3 Mg/m³

Cell: 3.4313 3.4313 26.0518 Å, 90.00 90.00 120.00°
Space group R3m (No. 160, hexagonal axes)
Asymmetric unit:
Zn (0.0000, 0.0000, 0.0000) (multiplicity 3)
In (0.0000, 0.0000, 0.2552) (multiplicity 3)
In (0.0000, 0.0000, 0.4944) (multiplicity 3)
Hg (0.0000, 0.0000, 0.7391) (multiplicity 3)

---

Model Q:
The following is a DFT calculation (GGA-PBEsol) of a relaxed structure of ZnIn2Hg.

Properties
**D(E_F)**: 3.1 states/eV per cell
**Mass density**: 9.3 Mg/m³

Cell: 9.9471 3.2871 5.7425 Å, 90.00 108.77 90.00°
Space group Cm (No. 8)
Asymmetric unit:
Zn (0.0000, 0.0000, 0.0000) (multiplicity 2)
In (0.0286, 0.5000, 0.4607) (multiplicity 2)
In (0.2436, 0.5000, 0.1242) (multiplicity 2)
Hg (0.2975, 0.0000, 0.6731) (multiplicity 2)

---

Most stable one: model P, least stable one: model Q.